1) An optimized crystal structure of Nd4ZnIr, computed with PBE-GGA.

Output
The total moment comes out at 0.00 μB per formula unit. Its space-group type is F-43m (216). The value obtained for the calculated density is 8.22 g/cm³.

```
Nd4ZnIr
1.0
-5.044 8.410 -0.846
-7.786 1.672 5.785
0.519 6.787 7.111
Nd Zn Ir
16 4 4
Direct
0.398 0.398 0.398 Nd
0.805 0.398 0.398 Nd
0.398 0.805 0.398 Nd
0.398 0.398 0.805 Nd
0.557 0.557 0.943 Nd
0.943 0.943 0.557 Nd
0.557 0.943 0.557 Nd
0.943 0.557 0.943 Nd
0.943 0.557 0.557 Nd
0.557 0.943 0.943 Nd
0.189 0.189 0.811 Nd
0.811 0.811 0.189 Nd
0.189 0.811 0.189 Nd
0.811 0.189 0.811 Nd
0.811 0.189 0.189 Nd
0.189 0.811 0.811 Nd
0.172 0.172 0.172 Zn
0.484 0.172 0.172 Zn
0.172 0.484 0.172 Zn
0.172 0.172 0.484 Zn
0.608 0.608 0.608 Ir
0.176 0.608 0.608 Ir
0.608 0.176 0.608 Ir
0.608 0.608 0.176 Ir
```

2) An optimized crystal structure of Nd4ZnIr, computed with PBE-GGA.

Output
The total moment comes out at 0.00 μB per formula unit. Its space-group type is I4_1md (109). The value obtained for the calculated density is 6.74 g/cm³.

```
Nd4ZnIr
1.0
-5.566 -0.966 5.845
7.667 -1.037 2.492
-0.637 7.649 -2.676
Nd Zn Ir
8 2 2
Direct
0.265 0.960 0.695 Nd
0.734 0.434 0.700 Nd
0.710 0.515 0.195 Nd
0.184 0.984 0.200 Nd
0.320 0.515 0.805 Nd
0.784 0.984 0.800 Nd
0.734 0.034 0.300 Nd
0.265 0.570 0.305 Nd
0.252 0.252 0.000 Zn
0.002 0.502 0.500 Zn
0.750 0.750 0.000 Ir
0.500 0.000 0.500 Ir
```

Energy ordering: 1) at the bottom, the next structure 22.2 kJ/mol of atoms above.

1) An optimized crystal structure of NdZn9Ir2, computed with PBE-GGA.

Output
The total moment comes out at 0.00 μB per formula unit. Its space-group type is P6/mmm (191). The value obtained for the calculated density is 9.22 g/cm³.

```
NdZn9Ir2
1.0
3.060 0.000 0.000
0.000 8.715 0.000
0.000 -4.358 7.548
Nd Zn Ir
1 9 2
Direct
0.000 0.000 0.000 Nd
0.500 0.812 0.188 Zn
0.000 0.000 0.500 Zn
0.000 0.500 0.500 Zn
0.500 0.812 0.624 Zn
0.500 0.188 0.812 Zn
0.500 0.624 0.812 Zn
0.500 0.188 0.376 Zn
0.000 0.500 0.000 Zn
0.500 0.376 0.188 Zn
0.000 0.667 0.333 Ir
0.000 0.333 0.667 Ir
```

2) An optimized crystal structure of NdZn9Ir2, computed with PBE-GGA.

Output
The total moment comes out at 0.00 μB per formula unit. Its space-group type is I4_1/amd (141). The value obtained for the calculated density is 9.52 g/cm³.

```
NdZn9Ir2
1.0
-3.216 6.158 0.614
-5.254 1.813 -6.097
-7.151 -0.195 4.109
Nd Zn Ir
2 18 4
Direct
0.500 0.000 0.000 Nd
0.250 0.500 0.500 Nd
0.750 0.500 0.500 Zn
0.000 0.000 0.000 Zn
0.014 0.915 0.671 Zn
0.600 0.085 0.329 Zn
0.679 0.171 0.585 Zn
0.435 0.829 0.415 Zn
0.736 0.829 0.585 Zn
0.150 0.171 0.415 Zn
0.071 0.915 0.329 Zn
0.315 0.085 0.671 Zn
0.736 0.585 0.829 Zn
0.150 0.415 0.171 Zn
0.071 0.329 0.915 Zn
0.315 0.671 0.085 Zn
0.014 0.671 0.915 Zn
0.600 0.329 0.085 Zn
0.679 0.585 0.171 Zn
0.435 0.415 0.829 Zn
0.875 0.250 0.750 Ir
0.875 0.750 0.250 Ir
0.875 0.250 0.250 Ir
0.375 0.750 0.750 Ir
```

Energy ordering: 2) at the bottom, the next structure 8.9 kJ/mol of atoms above.

1) An optimized crystal structure of Ni2Ir, computed with PBE-GGA.

Output
The total moment comes out at 1.51 μB per formula unit. Its space-group type is P-3m1 (164). The value obtained for the calculated density is 13.75 g/cm³.

```
Ni2Ir
1.0
2.640 0.000 0.000
-1.320 2.287 0.000
0.000 0.000 6.192
Ni Ir
2 1
Direct
0.333 0.667 0.659 Ni
0.667 0.333 0.341 Ni
0.000 0.000 0.000 Ir
```

2) An optimized crystal structure of Ni2Ir, computed with PBE-GGA.

Output
The total moment comes out at 0.00 μB per formula unit. Its space-group type is Cmcm (63). The value obtained for the calculated density is 14.12 g/cm³.

```
Ni2Ir
1.0
3.618 0.000 0.000
1.809 5.477 0.000
0.000 0.000 3.675
Ir Ni
2 4
Direct
0.915 0.171 0.250 Ir
0.085 0.829 0.750 Ir
0.585 0.831 0.250 Ni
0.415 0.169 0.750 Ni
0.251 0.497 0.250 Ni
0.749 0.503 0.750 Ni
```

3) An optimized crystal structure of Ni2Ir, computed with PBE-GGA.

Output
The total moment comes out at 1.18 μB per formula unit. Its space-group type is I4/mcm (140). The value obtained for the calculated density is 12.63 g/cm³.

```
Ni2Ir
1.0
0.626 -4.701 0.025
1.849 2.340 3.688
-4.683 0.732 0.156
Ni Ir
4 2
Direct
0.355 0.145 0.500 Ni
0.855 0.355 0.210 Ni
0.145 0.645 0.790 Ni
0.645 0.855 0.500 Ni
0.250 0.250 0.000 Ir
0.750 0.750 0.000 Ir
```

Energy ordering: 2) at the bottom, the next structure 4.7 kJ/mol of atoms above.

1) An optimized crystal structure of Ni2Ir, computed with PBE-GGA.

Output
The total moment comes out at 0.82 μB per formula unit. Its space-group type is I4/mmm (139). The value obtained for the calculated density is 14.09 g/cm³.

```
Ni2Ir
1.0
2.998 0.000 0.000
-1.499 4.326 0.026
0.000 1.022 2.819
Ir Ni
1 2
Direct
0.000 0.000 0.000 Ir
0.325 0.651 0.675 Ni
0.675 0.349 0.325 Ni
```

2) An optimized crystal structure of Ni2Ir, computed with PBE-GGA.

Output
The total moment comes out at 0.00 μB per formula unit. Its space-group type is I4/mmm (139). The value obtained for the calculated density is 14.03 g/cm³.

```
Ni2Ir
1.0
2.651 0.000 0.000
-1.326 5.378 0.005
0.000 0.651 2.570
Ni Ir
2 1
Direct
0.330 0.661 0.670 Ni
0.670 0.339 0.330 Ni
0.000 0.000 0.000 Ir
```

Energy ordering: 2) at the bottom, the next structure 6.3 kJ/mol of atoms above.

1) An optimized crystal structure of Ni2Ir, computed with PBE-GGA.

Output
The total moment comes out at 2.24 μB per formula unit. Its space-group type is P6_3/mmc (194). The value obtained for the calculated density is 14.17 g/cm³.

```
Ni2Ir
1.0
4.695 0.000 0.000
2.348 4.066 0.000
0.000 0.000 7.603
Ni Ir
8 4
Direct
0.000 0.000 0.000 Ni
0.000 0.000 0.500 Ni
0.830 0.339 0.750 Ni
0.339 0.830 0.750 Ni
0.170 0.170 0.250 Ni
0.830 0.830 0.750 Ni
0.661 0.170 0.250 Ni
0.170 0.661 0.250 Ni
0.667 0.667 0.063 Ir
0.667 0.667 0.437 Ir
0.333 0.333 0.563 Ir
0.333 0.333 0.937 Ir
```

2) An optimized crystal structure of Ni2Ir, computed with PBE-GGA.

Output
The total moment comes out at 1.76 μB per formula unit. Its space-group type is Immm (71). The value obtained for the calculated density is 13.95 g/cm³.

```
Ni2Ir
1.0
4.461 -0.019 0.018
2.220 3.869 -0.018
-2.995 -2.524 2.135
Ni Ir
2 1
Direct
0.666 0.666 0.000 Ni
0.334 0.334 0.000 Ni
0.000 0.000 0.000 Ir
```

Energy ordering: 2) at the bottom, the next structure 9.9 kJ/mol of atoms above.

1) An optimized crystal structure of Ni2Ir, computed with PBE-GGA.

Output
The total moment comes out at 1.21 μB per formula unit. Its space-group type is Cmcm (63). The value obtained for the calculated density is 13.83 g/cm³.

```
Ni2Ir
1.0
2.657 0.000 0.000
1.328 6.606 0.000
0.000 0.000 4.235
Ir Ni
2 4
Direct
0.997 0.007 0.000 Ir
0.559 0.882 0.500 Ir
0.672 0.655 0.000 Ni
0.330 0.339 0.000 Ni
0.225 0.550 0.500 Ni
0.883 0.234 0.500 Ni
```

2) An optimized crystal structure of Ni2Ir, computed with PBE-GGA.

Output
The total moment comes out at 1.32 μB per formula unit. Its space-group type is Pnma (62). The value obtained for the calculated density is 14.02 g/cm³.

```
Ni2Ir
1.0
-4.527 0.441 2.460
-0.232 -3.652 0.228
3.708 0.189 6.790
Ir Ni
4 8
Direct
0.130 0.250 0.916 Ir
0.370 0.750 0.416 Ir
0.630 0.250 0.584 Ir
0.870 0.750 0.084 Ir
0.122 0.250 0.249 Ni
0.123 0.250 0.584 Ni
0.377 0.750 0.084 Ni
0.378 0.750 0.749 Ni
0.622 0.250 0.251 Ni
0.623 0.250 0.916 Ni
0.877 0.750 0.416 Ni
0.878 0.750 0.751 Ni
```

3) An optimized crystal structure of Ni2Ir, computed with PBE-GGA.

Output
The total moment comes out at 1.96 μB per formula unit. Its space-group type is P-62m (189). The value obtained for the calculated density is 13.58 g/cm³.

```
Ni2Ir
1.0
3.548 -6.146 0.000
3.548 6.146 0.000
0.000 0.000 2.603
Ni Ir
6 3
Direct
0.301 0.000 0.000 Ni
0.000 0.301 0.000 Ni
0.699 0.699 0.000 Ni
0.633 0.000 0.500 Ni
0.000 0.633 0.500 Ni
0.367 0.367 0.500 Ni
0.333 0.667 0.000 Ir
0.667 0.333 0.000 Ir
0.000 0.000 0.500 Ir
```

Energy ordering: 2) at the bottom, the next structure 2.1 kJ/mol of atoms above.

1) An optimized crystal structure of Ni2Ir, computed with PBE-GGA.

Output
The total moment comes out at 1.05 μB per formula unit. Its space-group type is C2/m (12). The value obtained for the calculated density is 13.97 g/cm³.

```
Ni2Ir
1.0
2.631 0.000 -0.316
-0.186 4.141 -1.554
-0.271 -5.437 8.861
Ni Ir
4 2
Direct
0.250 0.748 0.000 Ni
0.750 0.252 0.000 Ni
0.414 0.019 0.329 Ni
0.586 0.981 0.671 Ni
0.914 0.513 0.328 Ir
0.086 0.487 0.672 Ir
```

2) An optimized crystal structure of Ni2Ir, computed with PBE-GGA.

Output
The total moment comes out at 1.80 μB per formula unit. Its space-group type is Cm (8). The value obtained for the calculated density is 13.83 g/cm³.

```
Ni2Ir
1.0
-1.798 1.585 -1.125
-3.492 0.663 3.400
2.048 4.702 3.351
Ir Ni
2 4
Direct
0.000 0.999 0.003 Ir
0.331 0.338 0.658 Ir
0.612 0.775 0.721 Ni
0.946 0.108 0.389 Ni
0.665 0.669 0.332 Ni
0.278 0.443 0.063 Ni
```

Energy ordering: 1) at the bottom, the next structure 1.3 kJ/mol of atoms above.

1) An optimized crystal structure of Ni2Ir, computed with PBE-GGA.

Output
The total moment comes out at 2.28 μB per formula unit. Its space-group type is P6_3/mmc (194). The value obtained for the calculated density is 13.60 g/cm³.

```
Ni2Ir
1.0
2.083 -3.608 0.000
2.083 3.608 0.000
0.000 0.000 5.028
Ni Ir
4 2
Direct
0.000 0.000 0.000 Ni
0.000 0.000 0.500 Ni
0.333 0.667 0.750 Ni
0.667 0.333 0.250 Ni
0.333 0.667 0.250 Ir
0.667 0.333 0.750 Ir
```

2) An optimized crystal structure of Ni2Ir, computed with PBE-GGA.

Output
The total moment comes out at 2.32 μB per formula unit. Its space-group type is Fd-3m (227). The value obtained for the calculated density is 14.15 g/cm³.

```
Ni2Ir
1.0
0.000 3.312 3.312
3.312 0.000 3.312
3.312 3.312 0.000
Ni Ir
4 2
Direct
0.625 0.625 0.625 Ni
0.125 0.625 0.625 Ni
0.625 0.125 0.625 Ni
0.625 0.625 0.125 Ni
0.000 0.000 0.000 Ir
0.250 0.250 0.250 Ir
```

Energy ordering: 2) at the bottom, the next structure 8.8 kJ/mol of atoms above.